Record 1
VASP calculation (GGA-PBE) on a relaxed PmDy5N6 crystal.

a b c (Å): 6.057 6.058 6.059
angles (deg): 60.00 80.41 70.54
Fractional positions:
N (0.747, 0.084, 0.339)
N (0.747, 0.745, 0.000)
Dy (0.500, 0.832, 0.335)
N (0.253, 0.577, 0.339)
N (0.253, 0.916, 0.661)
Dy (0.000, 0.333, 0.333)
N (0.253, 0.255, 0.000)
N (0.747, 0.423, 0.661)
Dy (0.000, 0.667, 0.667)
Dy (0.500, 0.500, 0.000)
Dy (0.500, 0.168, 0.665)
Pm (0.000, 0.000, 0.000)

Summary:
total magnetization = 0.00 μB per formula unit
DOS(E_F) = 0.025 states/eV/atom
formation energy (no corrections) = -1.653 eV/atom
uncorrected energy = -8.13 eV/atom

Record 2
VASP calculation (GGA-PBE) on a relaxed Ac12H5Ir3 crystal.

a b c (Å): 14.392 14.392 14.392
angles (deg): 109.47 109.47 109.47
Fractional positions:
Ac (0.313, 0.781, 0.404)
H (0.375, 0.125, 0.750)
Ac (0.219, 0.687, 0.096)
Ac (0.123, 0.719, 0.532)
H (0.000, 0.000, 0.000)
Ac (0.596, 0.719, 0.687)
H (0.250, 0.875, 0.125)
Ac (0.091, 0.187, 0.468)
H (0.500, 0.000, 0.000)
Ac (0.096, 0.187, 0.219)
Ir (0.250, 0.125, 0.375)
Ir (0.375, 0.750, 0.625)
Ac (0.813, 0.909, 0.032)
Ir (0.750, 0.875, 0.625)
Ac (0.219, 0.532, 0.623)
Ac (0.404, 0.281, 0.313)
Ac (0.781, 0.468, 0.377)
H (0.875, 0.250, 0.625)
Ac (0.123, 0.404, 0.091)
H (0.250, 0.375, 0.625)
Ac (0.409, 0.032, 0.313)
Ir (0.875, 0.750, 0.125)
H (0.125, 0.375, 0.250)
Ac (0.404, 0.123, 0.591)
H (0.000, 0.000, 0.500)
Ac (0.313, 0.532, 0.409)
Ac (0.968, 0.377, 0.281)
Ac (0.409, 0.377, 0.596)
Ac (0.596, 0.877, 0.409)
H (0.000, 0.500, 0.000)
Ac (0.687, 0.468, 0.591)
Ac (0.468, 0.781, 0.877)
Ac (0.096, 0.909, 0.377)
H (0.625, 0.750, 0.875)
Ac (0.877, 0.281, 0.468)
H (0.500, 0.000, 0.500)
Ac (0.468, 0.687, 0.091)
Ac (0.687, 0.219, 0.596)
H (0.875, 0.625, 0.750)
Ac (0.591, 0.968, 0.687)
Ir (0.375, 0.625, 0.250)
Ac (0.591, 0.623, 0.404)
H (0.500, 0.500, 0.000)
Ac (0.904, 0.813, 0.781)
Ir (0.625, 0.250, 0.375)
Ac (0.623, 0.032, 0.219)
Ac (0.377, 0.409, 0.096)
Ir (0.125, 0.250, 0.875)
Ac (0.281, 0.404, 0.813)
Ac (0.813, 0.904, 0.281)
H (0.625, 0.875, 0.250)
Ac (0.904, 0.091, 0.623)
Ac (0.968, 0.591, 0.187)
Ir (0.750, 0.375, 0.125)
Ir (0.625, 0.375, 0.750)
Ac (0.532, 0.219, 0.123)
Ac (0.091, 0.904, 0.123)
H (0.500, 0.500, 0.500)
Ac (0.877, 0.596, 0.909)
H (0.750, 0.625, 0.375)
Ac (0.719, 0.596, 0.187)
Ac (0.909, 0.096, 0.877)
Ac (0.281, 0.877, 0.968)
H (0.125, 0.750, 0.375)
Ac (0.532, 0.313, 0.909)
Ac (0.909, 0.813, 0.532)
Ir (0.125, 0.875, 0.750)
Ac (0.032, 0.623, 0.719)
Ac (0.623, 0.591, 0.904)
Ac (0.377, 0.968, 0.781)
Ac (0.032, 0.409, 0.813)
Ac (0.719, 0.123, 0.032)
Ac (0.187, 0.096, 0.719)
H (0.000, 0.500, 0.500)
H (0.375, 0.250, 0.125)
Ac (0.781, 0.313, 0.904)
Ac (0.187, 0.091, 0.968)
Ir (0.875, 0.125, 0.250)
Ir (0.250, 0.625, 0.875)
H (0.750, 0.125, 0.875)

Summary:
total magnetization = 0.00 μB per formula unit
DOS(E_F) = 0.992 states/eV/atom
uncorrected energy = -4.95 eV/atom

Record 3
VASP calculation (GGA-PBE) on a relaxed Sm2InSn crystal.

a b c (Å): 4.426 5.018 5.018
angles (deg): 90.00 90.00 90.00
Fractional positions:
Sn (0.500, 0.000, 0.000)
In (0.500, 0.500, 0.500)
Sm (0.000, 0.000, 0.500)
Sm (0.000, 0.500, 0.000)

Summary:
total magnetization = 0.00 μB per formula unit
DOS(E_F) = 0.734 states/eV/atom
uncorrected energy = -4.63 eV/atom

Record 4
VASP calculation (GGA-PBE) on a relaxed Nd4GeCCl2 crystal.

a b c (Å): 4.009 7.094 7.461
angles (deg): 108.38 90.00 90.00
Fractional positions:
Ge (0.000, 0.000, 0.000)
Nd (0.500, 0.269, 0.210)
Nd (0.000, 0.711, 0.199)
C (0.500, 0.500, 0.000)
Nd (0.500, 0.731, 0.790)
Cl (0.000, 0.500, 0.500)
Nd (0.000, 0.289, 0.801)
Cl (0.500, 0.000, 0.500)

Summary:
total magnetization = 0.00 μB per formula unit
DOS(E_F) = 0.453 states/eV/atom
formation energy (no corrections) = -1.087 eV/atom
uncorrected energy = -5.66 eV/atom

Record 5
VASP calculation (GGA-PBE) on a relaxed Mg2TiTeO6 crystal.

a b c (Å): 5.004 5.511 5.511
angles (deg): 90.00 90.00 90.00
Fractional positions:
O (0.270, 0.000, 0.000)
O (0.749, 0.239, 0.239)
Mg (0.895, 0.500, 0.000)
O (0.749, 0.239, 0.761)
Ti (0.613, 0.000, 0.000)
O (0.749, 0.761, 0.239)
O (0.749, 0.761, 0.761)
Te (0.577, 0.500, 0.500)
O (0.200, 0.500, 0.500)
Mg (0.895, 0.000, 0.500)

Summary:
total magnetization = 0.00 μB per formula unit
DOS(E_F) = 0.000 states/eV/atom
formation energy (no corrections) = -1.998 eV/atom
uncorrected energy = -6.40 eV/atom

Record 6
VASP calculation (GGA-PBE) on a relaxed ThAl2CdAu4 crystal.

a b c (Å): 4.444 4.444 9.896
angles (deg): 77.02 77.02 60.00
Fractional positions:
Al (0.758, 0.758, 0.726)
Au (0.881, 0.881, 0.356)
Al (0.242, 0.242, 0.274)
Cd (0.500, 0.500, 0.500)
Au (0.607, 0.607, 0.179)
Th (0.000, 0.000, 0.000)
Au (0.393, 0.393, 0.821)
Au (0.119, 0.119, 0.644)

Summary:
total magnetization = 0.00 μB per formula unit
DOS(E_F) = 0.273 states/eV/atom
uncorrected energy = -4.09 eV/atom

Record 7
VASP calculation (GGA-PBE) on a relaxed Cr2SiHg crystal.

a b c (Å): 3.114 3.114 6.084
angles (deg): 90.00 90.00 90.00
Fractional positions:
Cr (0.000, 0.000, 0.573)
Si (0.500, 0.500, 0.750)
Cr (0.000, 0.000, 0.927)
Hg (0.500, 0.500, 0.250)

Summary:
total magnetization = 0.36 μB per formula unit
DOS(E_F) = 0.820 states/eV/atom
formation energy (no corrections) = 0.250 eV/atom
uncorrected energy = -5.99 eV/atom

Record 8
VASP calculation (GGA-PBE) on a relaxed NbSn2S2 crystal.

a b c (Å): 6.472 6.472 5.716
angles (deg): 90.00 90.00 90.00
Fractional positions:
S (0.669, 0.169, 0.000)
Sn (0.794, 0.706, 0.500)
Sn (0.706, 0.206, 0.500)
Sn (0.206, 0.294, 0.500)
Nb (0.000, 0.000, 0.000)
S (0.169, 0.331, 0.000)
S (0.831, 0.669, 0.000)
Nb (0.500, 0.500, 0.000)
Sn (0.294, 0.794, 0.500)
S (0.331, 0.831, 0.000)

Summary:
total magnetization = 0.00 μB per formula unit
relative energy among the computed polymorphs = 0.000 eV per atom
DOS(E_F) = 0.506 states/eV/atom
formation energy (no corrections) = -0.220 eV/atom
uncorrected energy = -5.49 eV/atom

Record 9
VASP calculation (GGA-PBE) on a relaxed Tb3ErIr8 crystal.

a b c (Å): 5.364 5.364 9.282
angles (deg): 73.21 73.21 60.00
Fractional positions:
Tb (0.000, 0.000, 0.001)
Tb (0.375, 0.375, 0.875)
Ir (0.437, 0.937, 0.188)
Ir (0.938, 0.438, 0.687)
Tb (0.500, 0.500, 0.499)
Ir (0.937, 0.437, 0.188)
Ir (0.438, 0.938, 0.687)
Ir (0.188, 0.188, 0.437)
Ir (0.688, 0.688, 0.937)
Ir (0.437, 0.437, 0.188)
Er (0.875, 0.875, 0.375)
Ir (0.938, 0.938, 0.687)

Summary:
total magnetization = 0.00 μB per formula unit
DOS(E_F) = 0.780 states/eV/atom
uncorrected energy = -8.25 eV/atom

Record 10
VASP calculation (GGA-PBE) on a relaxed Sr2YPd crystal.

a b c (Å): 10.867 10.867 8.167
angles (deg): 48.30 48.30 90.00
Fractional positions:
Sr (0.757, 0.125, 0.250)
Sr (0.875, 0.007, 0.750)
Sr (0.993, 0.625, 0.250)
Y (0.250, 0.750, 0.500)
Pd (0.000, 0.000, 0.000)
Pd (0.750, 0.250, 0.500)
Y (0.500, 0.500, 0.000)
Sr (0.375, 0.243, 0.750)

Summary:
total magnetization = 0.00 μB per formula unit
relative energy among the computed polymorphs = 0.000 eV per atom
DOS(E_F) = 1.220 states/eV/atom
uncorrected energy = -3.82 eV/atom

Record 11
VASP calculation (GGA-PBE) on a relaxed YTl2Zn crystal.

a b c (Å): 3.712 3.712 7.225
angles (deg): 90.00 90.00 90.00
Fractional positions:
Y (0.500, 0.500, 0.250)
Tl (0.000, 0.000, 0.529)
Zn (0.500, 0.500, 0.750)
Tl (0.000, 0.000, 0.971)

Summary:
total magnetization = 0.40 μB per formula unit
DOS(E_F) = 0.849 states/eV/atom
uncorrected energy = -3.19 eV/atom

Record 12
VASP calculation (GGA-PBE) on a relaxed YBS3 crystal.

a b c (Å): 6.290 7.155 8.690
angles (deg): 90.00 92.69 90.00
Fractional positions:
S (0.371, 0.197, 0.932)
S (0.129, 0.697, 0.568)
S (0.629, 0.504, 0.744)
B (0.604, 0.348, 0.906)
S (0.323, 0.186, 0.548)
S (0.871, 0.004, 0.756)
S (0.129, 0.996, 0.244)
B (0.896, 0.848, 0.594)
Y (0.456, 0.871, 0.752)
B (0.104, 0.152, 0.406)
Y (0.044, 0.371, 0.748)
S (0.871, 0.303, 0.432)
S (0.371, 0.496, 0.256)
S (0.823, 0.314, 0.048)
B (0.396, 0.652, 0.094)
Y (0.956, 0.629, 0.252)
Y (0.544, 0.129, 0.248)
S (0.629, 0.803, 0.068)
S (0.177, 0.686, 0.952)
S (0.677, 0.814, 0.452)

Summary:
total magnetization = 0.00 μB per formula unit
relative energy among the computed polymorphs = 0.000 eV per atom
DOS(E_F) = 0.000 states/eV/atom
formation energy (no corrections) = -1.214 eV/atom
uncorrected energy = -6.32 eV/atom

Record 13
VASP calculation (GGA-PBE) on a relaxed TlReMo crystal.

a b c (Å): 4.437 4.437 4.437
angles (deg): 60.00 60.00 60.00
Fractional positions:
Mo (0.500, 0.500, 0.500)
Tl (0.000, 0.000, 0.000)
Re (0.750, 0.750, 0.750)

Summary:
total magnetization = 0.00 μB per formula unit
relative energy among the computed polymorphs = 0.504 eV per atom
DOS(E_F) = 1.240 states/eV/atom
uncorrected energy = -7.51 eV/atom

Record 14
VASP calculation (GGA-PBE) on a relaxed Ce2PmEr3Tm6 crystal.

a b c (Å): 6.077 6.077 11.605
angles (deg): 95.01 95.01 119.98
Fractional positions:
Pm (0.000, 0.000, 0.000)
Ce (0.333, 0.667, 0.000)
Er (0.166, 0.834, 0.500)
Tm (0.084, 0.420, 0.251)
Tm (0.580, 0.916, 0.749)
Tm (0.748, 0.748, 0.251)
Er (0.500, 0.500, 0.500)
Ce (0.667, 0.333, 0.000)
Tm (0.916, 0.580, 0.749)
Tm (0.252, 0.252, 0.749)
Tm (0.420, 0.084, 0.251)
Er (0.834, 0.166, 0.500)

Summary:
total magnetization = 1.75 μB per formula unit
DOS(E_F) = 1.848 states/eV/atom
uncorrected energy = -4.71 eV/atom

Record 15
VASP calculation (GGA-PBE) on a relaxed ScInP2 crystal.

a b c (Å): 6.665 6.665 6.665
angles (deg): 33.55 33.55 33.55
Fractional positions:
P (0.502, 0.502, 0.502)
Sc (0.250, 0.250, 0.250)
P (0.998, 0.998, 0.998)
In (0.750, 0.750, 0.750)

Summary:
total magnetization = 0.00 μB per formula unit
DOS(E_F) = 0.210 states/eV/atom
uncorrected energy = -5.56 eV/atom

Record 16
VASP calculation (GGA-PBE) on a relaxed Na7Hg2Sb2 crystal.

a b c (Å): 6.541 8.889 6.541
angles (deg): 89.99 117.59 90.01
Fractional positions:
Na (0.500, 0.215, 0.500)
Hg (0.274, 0.000, 0.726)
Sb (0.786, 0.500, 0.786)
Na (0.000, 0.315, 0.500)
Sb (0.214, 0.500, 0.214)
Na (0.000, 0.685, 0.500)
Na (0.500, 0.315, 0.000)
Na (0.000, 0.000, 0.000)
Na (0.500, 0.785, 0.500)
Na (0.500, 0.685, 0.000)
Hg (0.726, 0.000, 0.274)

Summary:
total magnetization = 0.00 μB per formula unit
DOS(E_F) = 0.359 states/eV/atom
formation energy (no corrections) = -0.188 eV/atom
uncorrected energy = -1.83 eV/atom

Record 17
VASP calculation (GGA-PBE) on a relaxed Ho3Er2Te8 crystal.

a b c (Å): 7.455 8.641 8.752
angles (deg): 119.58 106.03 90.00
Fractional positions:
Te (0.084, 0.878, 0.757)
Ho (0.500, 0.000, 0.000)
Ho (0.000, 0.743, 0.000)
Te (0.413, 0.874, 0.245)
Ho (0.000, 0.257, 0.000)
Te (0.587, 0.629, 0.755)
Te (0.413, 0.371, 0.245)
Te (0.103, 0.383, 0.765)
Te (0.897, 0.617, 0.235)
Te (0.916, 0.122, 0.243)
Er (0.669, 0.750, 0.499)
Te (0.587, 0.126, 0.755)
Er (0.331, 0.250, 0.501)

Summary:
total magnetization = 0.00 μB per formula unit
DOS(E_F) = 0.451 states/eV/atom
formation energy (no corrections) = -1.235 eV/atom
uncorrected energy = -4.93 eV/atom

Record 18
VASP calculation (GGA-PBE) on a relaxed TbTmSc2Se6 crystal.

a b c (Å): 6.983 6.983 7.469
angles (deg): 62.12 62.12 60.00
Fractional positions:
Se (0.890, 0.627, 0.246)
Se (0.397, 0.739, 0.744)
Se (0.627, 0.237, 0.246)
Se (0.739, 0.119, 0.744)
Sc (0.010, 0.010, 0.969)
Tm (0.818, 0.818, 0.547)
Se (0.237, 0.890, 0.246)
Se (0.119, 0.397, 0.745)
Tb (0.315, 0.315, 0.054)
Sc (0.509, 0.509, 0.473)

Summary:
total magnetization = 0.00 μB per formula unit
DOS(E_F) = 0.000 states/eV/atom
formation energy (no corrections) = -1.748 eV/atom
uncorrected energy = -6.02 eV/atom

Record 19
VASP calculation (GGA-PBE) on a relaxed ZnGa2Ag7Sn2 crystal.

a b c (Å): 4.180 4.180 14.688
angles (deg): 72.46 72.46 90.28
Fractional positions:
Ag (0.840, 0.343, 0.151)
Ag (0.500, 0.500, 0.000)
Ag (0.762, 0.762, 0.498)
Sn (0.681, 0.681, 0.316)
Ga (0.814, 0.814, 0.685)
Ag (0.238, 0.238, 0.502)
Sn (0.319, 0.319, 0.684)
Ag (0.160, 0.657, 0.849)
Ag (0.343, 0.840, 0.151)
Ag (0.657, 0.160, 0.849)
Ga (0.186, 0.186, 0.315)
Zn (0.000, 0.000, 0.000)

Summary:
total magnetization = 0.00 μB per formula unit
DOS(E_F) = 0.306 states/eV/atom
uncorrected energy = -2.90 eV/atom

Record 20
VASP calculation (GGA-PBE) on a relaxed CuSn3Sb crystal.

a b c (Å): 5.119 5.119 5.119
angles (deg): 90.00 90.00 90.00
Fractional positions:
Sn (0.000, 0.000, 0.500)
Sn (0.000, 0.500, 0.000)
Sb (0.500, 0.500, 0.500)
Sn (0.500, 0.000, 0.000)
Cu (0.000, 0.000, 0.000)

Summary:
total magnetization = 0.00 μB per formula unit
relative energy among the computed polymorphs = 0.097 eV per atom
DOS(E_F) = 0.555 states/eV/atom
formation energy (no corrections) = 0.215 eV/atom
uncorrected energy = -3.83 eV/atom